(1)
Be3Sb: relaxed, GGA-PBEsol.

Summary:
E above lowest polymorph ... 220 meV/atom
Final energy ... -3.519 eV per atom
Formation energy from raw total energies ... 620 meV/atom

abc: 2.8288 3.4734 5.4266
angles: 90.00 90.00 90.00
Closest atoms and distances in Å follow each position.
Space group Pmmm (No. 47)
Inequivalent atoms, fractional coordinates:
Be: 0.0000 0.0000 0.0000 [1 per cell]  8 Be 2.46, 2 Sb 2.71
Be: 0.5000 0.5000 0.1890 [2 per cell]  1 Be 2.05
Sb: 0.0000 0.0000 0.5000 [1 per cell]  10 Be 2.71-2.80, 2 Sb 2.83

---

(2)
ScInI3: relaxed, GGA-PBEsol.

Summary:
E above lowest polymorph ... 0 meV/atom
Final energy ... -3.649 eV per atom
Formation energy from raw total energies ... -671 meV/atom

abc: 5.6609 5.6609 5.6609
angles: 90.00 90.00 90.00
Closest atoms and distances in Å follow each position.
Space group Pm-3m (No. 221)
Inequivalent atoms, fractional coordinates:
Sc: 0.0000 0.0000 0.0000 [1 per cell]  6 I 2.83
In: 0.5000 0.5000 0.5000 [1 per cell]  12 I 4.00
I: 0.0000 0.0000 0.5000 [3 per cell]  2 Sc 2.83

---

(3)
LaPbSe: relaxed, GGA-PBEsol.

Summary:
E above lowest polymorph ... 0 meV/atom
Final energy ... -5.061 eV per atom
Formation energy from raw total energies ... -663 meV/atom

abc: 4.0005 4.0005 6.7918
angles: 90.00 90.00 120.00
Closest atoms and distances in Å follow each position.
Space group P3m1 (No. 156)
Inequivalent atoms, fractional coordinates:
La: 0.0000 0.0000 0.0000 [1 per cell]  3 Se 2.90
Pb: 0.3333 0.6667 0.6194 [1 per cell]  3 Se 3.37, 3 La 3.47
Se: 0.6667 0.3333 0.2587 [1 per cell]  3 La 2.90

---

(4)
TlNF2: relaxed, GGA-PBEsol.

Summary:
Final energy ... -3.646 eV per atom
Formation energy from raw total energies ... 106 meV/atom

abc: 5.8643 5.8643 5.8643
angles: 90.00 90.00 90.00
Closest atoms and distances in Å follow each position.
Space group Fm-3m (No. 225)
Inequivalent atoms, fractional coordinates:
Tl: 0.0000 0.0000 0.0000 [4 per cell]  8 F 2.54
N: 0.0000 0.0000 0.5000 [4 per cell]  8 F 2.54
F: 0.2500 0.2500 0.2500 [8 per cell]  4 Tl 2.54, 4 N 2.54

---

(5)
BaSc2In: relaxed, GGA-PBEsol.

Summary:
Energy of formation from the pure elements ... -0.011 eV/atom
Final energy ... -4.596 eV per atom

abc: 3.5737 5.7897 11.1946
angles: 90.00 90.00 90.00
Closest atoms and distances in Å follow each position.
Space group Immm (No. 71)
Inequivalent atoms, fractional coordinates:
Ba: 0.0000 0.0000 0.0000 [2 per cell]  4 In 3.40, 2 Ba 3.57, 8 Sc 3.64-3.77
Sc: 0.0000 0.5000 0.2164 [4 per cell]  2 In 3.01
In: 0.0000 0.0000 0.5000 [2 per cell]  4 Sc 3.01

---

(6)
NaMnPO4: relaxed, GGA-PBEsol.

Summary:
Final energy ... -7.440 eV per atom
Formation energy from raw total energies ... -2019 meV/atom

abc: 9.0923 6.8684 5.0878
angles: 90.00 90.00 90.00
Closest atoms and distances in Å follow each position.
Space group Pnma (No. 62)
Inequivalent atoms, fractional coordinates:
Na: 0.1494 0.2500 0.0263 [4 per cell]  4 O 2.32-2.45
Mn: 0.0000 0.0000 0.5000 [4 per cell]  4 O 2.04-2.22
P: 0.1756 0.7500 0.0306 [4 per cell]  4 O 1.54-1.57
O: 0.1190 0.7500 0.7415 [4 per cell]  1 P 1.56
O: 0.1201 0.5667 0.1745 [8 per cell]  1 P 1.54
O: 0.1519 0.2500 0.5447 [4 per cell]  1 P 1.57

---

(7)
Be2TlFe: relaxed, GGA-PBEsol.

Summary:
Energy of formation from the pure elements ... 0.400 eV/atom
Final energy ... -4.498 eV per atom

abc: 7.8991 3.0309 4.3905
angles: 90.00 103.68 90.00
Closest atoms and distances in Å follow each position.
Space group C2/m (No. 12)
Inequivalent atoms, fractional coordinates:
Be: 0.2135 0.0000 0.1250 [4 per cell]  2 Be 2.03, 2 Fe 2.24
Tl: 0.0000 0.0000 0.5000 [2 per cell]  8 Be 2.62-2.89, 4 Fe 2.67
Fe: 0.0000 0.5000 0.0000 [2 per cell]  6 Be 2.24-2.45

---

(8)
SrAg2Cl: relaxed, GGA-PBEsol.

Summary:
E above lowest polymorph ... 0 meV/atom
Final energy ... -3.277 eV per atom
Formation energy from raw total energies ... -660 meV/atom

abc: 4.5606 4.5606 18.4117
angles: 90.00 90.00 120.00
Closest atoms and distances in Å follow each position.
Space group R3m (No. 160, hexagonal axes)
Inequivalent atoms, fractional coordinates:
Sr: 0.0000 0.0000 0.0000 [3 per cell]  3 Cl 2.93
Ag: 0.0000 0.0000 0.2219 [3 per cell]  3 Ag 2.64
Ag: 0.0000 0.0000 0.5494 [3 per cell]  3 Ag 2.64
Cl: 0.0000 0.0000 0.7362 [3 per cell]  3 Sr 2.93